1.
This record from Alexandria via LeMat-Bulk describes a geometry-optimized La2AgBi2 structure. The functional is GGA-PBE.

a = 8.530 Å, b = 8.530 Å, c = 4.423 Å
α = 90.00°, β = 90.00°, γ = 90.00°
Element x y z (fractional)
La1 0.153 0.347 0.000
La2 0.347 0.847 0.000
La3 0.653 0.153 0.000
La4 0.847 0.653 0.000
Ag1 0.000 0.000 0.500
Ag2 0.500 0.500 0.500
Bi1 0.157 0.657 0.500
Bi2 0.343 0.157 0.500
Bi3 0.657 0.843 0.500
Bi4 0.843 0.343 0.500

Summary:
Offset from the most stable computed form: 0.00 eV per formula unit
Symmetry: P4/mbm

***

2.
This record from Alexandria via LeMat-Bulk describes a geometry-optimized CoSbRu2 structure. The functional is GGA-PBE.

a = 2.902 Å, b = 3.720 Å, c = 5.499 Å
α = 90.00°, β = 90.00°, γ = 90.00°
Element x y z (fractional)
Co1 0.000 0.000 0.000
Sb1 0.500 0.500 0.259
Ru1 0.000 0.000 0.537
Ru2 0.500 0.500 0.778

Summary:
Energy relative to the elements, uncorrected: 0.26 eV per atom
Symmetry: Pmm2

***

3.
This record from Alexandria via LeMat-Bulk describes a geometry-optimized Pm9Ho2Tm structure. The functional is GGA-PBE.

a = 5.111 Å, b = 5.111 Å, c = 15.332 Å
α = 90.00°, β = 90.00°, γ = 90.00°
Element x y z (fractional)
Pm1 0.000 0.000 0.000
Pm2 0.000 0.000 0.333
Pm3 0.000 0.000 0.667
Pm4 0.000 0.500 0.166
Pm5 0.000 0.500 0.500
Pm6 0.000 0.500 0.834
Pm7 0.500 0.000 0.166
Pm8 0.500 0.000 0.500
Pm9 0.500 0.000 0.834
Ho1 0.500 0.500 0.333
Ho2 0.500 0.500 0.667
Tm1 0.500 0.500 0.000

Summary:
Symmetry: P4/mmm

***

4.
This record from Alexandria via LeMat-Bulk describes a geometry-optimized MgCo2W structure. The functional is GGA-PBE.

a = 5.447 Å, b = 5.447 Å, c = 5.447 Å
α = 104.41°, β = 104.41°, γ = 120.15°
Element x y z (fractional)
Mg1 0.000 0.000 0.000
Mg2 0.750 0.250 0.500
Co1 0.159 0.625 0.034
Co2 0.375 0.409 0.534
Co3 0.591 0.125 0.966
Co4 0.875 0.841 0.466
W1 0.250 0.750 0.500
W2 0.500 0.500 0.000

Summary:
Symmetry: I-42d

***

5.
This record from Alexandria via LeMat-Bulk describes a geometry-optimized BaGa3I structure. The functional is GGA-PBE.

a = 5.840 Å, b = 5.840 Å, c = 5.840 Å
α = 90.00°, β = 90.00°, γ = 90.00°
Element x y z (fractional)
Ba1 0.000 0.000 0.000
Ga1 0.000 0.500 0.500
Ga2 0.500 0.000 0.500
Ga3 0.500 0.500 0.000
I1 0.500 0.500 0.500

Summary:
Energy relative to the elements, uncorrected: 0.20 eV per atom
Offset from the most stable computed form: 0.00 eV per formula unit
Symmetry: Pm-3m

***

6.
This record from Alexandria via LeMat-Bulk describes a geometry-optimized TaV2Te2Se4 structure. The functional is GGA-PBE.

a = 3.431 Å, b = 3.431 Å, c = 22.384 Å
α = 90.00°, β = 90.00°, γ = 120.00°
Element x y z (fractional)
Ta1 0.000 0.000 0.000
V1 0.000 0.000 0.640
V2 0.667 0.333 0.332
Te1 0.667 0.333 0.088
Te2 0.667 0.333 0.912
Se1 0.000 0.000 0.262
Se2 0.000 0.000 0.403
Se3 0.667 0.333 0.570
Se4 0.667 0.333 0.711

Summary:
Energy relative to the elements, uncorrected: -0.54 eV per atom
Symmetry: P3m1

***

7.
This record from Alexandria via LeMat-Bulk describes a geometry-optimized InAsRu2C structure. The functional is GGA-PBE.

a = 4.115 Å, b = 4.115 Å, c = 4.553 Å
α = 90.00°, β = 90.00°, γ = 90.00°
Element x y z (fractional)
In1 0.000 0.000 0.000
As1 0.500 0.500 0.000
Ru1 0.000 0.500 0.500
Ru2 0.500 0.000 0.500
C1 0.000 0.000 0.500

Summary:
Symmetry: P4/mmm

***

8.
This record from Alexandria via LeMat-Bulk describes a geometry-optimized ZrCu2Se3 structure. The functional is GGA-PBE.

a = 7.437 Å, b = 3.812 Å, c = 10.644 Å
α = 90.00°, β = 105.85°, γ = 90.00°
Element x y z (fractional)
Zr1 0.247 0.250 0.207
Zr2 0.753 0.750 0.793
Cu1 0.051 0.250 0.930
Cu2 0.419 0.750 0.415
Cu3 0.581 0.250 0.585
Cu4 0.949 0.750 0.070
Se1 0.076 0.750 0.311
Se2 0.269 0.750 0.015
Se3 0.417 0.750 0.652
Se4 0.583 0.250 0.348
Se5 0.731 0.250 0.985
Se6 0.924 0.250 0.689

Summary:
Energy relative to the elements, uncorrected: -0.74 eV per atom
Symmetry: P2_1/m

***

9.
This record from Alexandria via LeMat-Bulk describes a geometry-optimized Pr2Ag5Hg3 structure. The functional is GGA-PBE.

a = 9.440 Å, b = 9.440 Å, c = 9.440 Å
α = 101.37°, β = 90.13°, γ = 143.18°
Element x y z (fractional)
Pr1 0.244 0.125 0.369
Pr2 0.256 0.625 0.881
Pr3 0.744 0.375 0.119
Pr4 0.756 0.875 0.631
Ag1 0.144 0.866 0.011
Ag2 0.250 0.504 0.254
Ag3 0.250 0.750 0.500
Ag4 0.250 0.996 0.746
Ag5 0.356 0.366 0.722
Ag6 0.644 0.634 0.278
Ag7 0.750 0.004 0.254
Ag8 0.750 0.250 0.500
Ag9 0.750 0.496 0.746
Ag10 0.856 0.134 0.989
Hg1 0.147 0.378 0.526
Hg2 0.250 0.250 0.000
Hg3 0.353 0.878 0.231
Hg4 0.647 0.122 0.769
Hg5 0.750 0.750 0.000
Hg6 0.853 0.622 0.474

Summary:
Symmetry: Ibam

***

10.
This record from Alexandria via LeMat-Bulk describes a geometry-optimized NpCoNi2 structure. The functional is GGA-PBE.

a = 9.371 Å, b = 9.371 Å, c = 9.371 Å
α = 15.85°, β = 15.85°, γ = 15.85°
Element x y z (fractional)
Np1 0.000 0.000 0.000
Co1 0.500 0.500 0.500
Ni1 0.095 0.095 0.095
Ni2 0.905 0.905 0.905

Summary:
Offset from the most stable computed form: 1.89 eV per formula unit
Symmetry: R-3m

***

11.
This record from Alexandria via LeMat-Bulk describes a geometry-optimized ScCd2Cu structure. The functional is GGA-PBE.

a = 3.251 Å, b = 4.122 Å, c = 6.181 Å
α = 90.00°, β = 105.08°, γ = 90.00°
Element x y z (fractional)
Sc1 0.000 0.000 0.000
Cd1 0.272 0.000 0.544
Cd2 0.648 0.500 0.297
Cu1 0.416 0.500 0.831

Summary:
Symmetry: Pm

***

12.
This record from Alexandria via LeMat-Bulk describes a geometry-optimized FeHg2MoAu structure. The functional is GGA-PBE.

a = 5.305 Å, b = 5.305 Å, c = 4.985 Å
α = 90.00°, β = 90.00°, γ = 90.00°
Element x y z (fractional)
Fe1 0.000 0.000 0.000
Hg1 0.000 0.500 0.500
Hg2 0.500 0.000 0.500
Mo1 0.500 0.500 0.500
Au1 0.500 0.500 0.000

Summary:
Symmetry: P4/mmm

***

13.
This record from Alexandria via LeMat-Bulk describes a geometry-optimized Ca3TiNb3N8 structure. The functional is GGA-PBE.

a = 6.689 Å, b = 6.689 Å, c = 6.689 Å
α = 55.90°, β = 55.90°, γ = 55.90°
Element x y z (fractional)
Ca1 0.000 0.500 0.500
Ca2 0.500 0.000 0.500
Ca3 0.500 0.500 0.000
Ti1 0.500 0.500 0.500
Nb1 0.000 0.000 0.500
Nb2 0.000 0.500 0.000
Nb3 0.500 0.000 0.000
N1 0.237 0.731 0.731
N2 0.239 0.239 0.239
N3 0.269 0.269 0.763
N4 0.269 0.763 0.269
N5 0.731 0.237 0.731
N6 0.731 0.731 0.237
N7 0.761 0.761 0.761
N8 0.763 0.269 0.269

Summary:
Energy relative to the elements, uncorrected: -1.11 eV per atom
Symmetry: R-3m

***

14.
This record from Alexandria via LeMat-Bulk describes a geometry-optimized SmErTl4 structure. The functional is GGA-PBE.

a = 5.094 Å, b = 5.094 Å, c = 7.488 Å
α = 90.05°, β = 90.05°, γ = 89.97°
Element x y z (fractional)
Sm1 0.000 0.000 0.000
Er1 0.500 0.500 0.500
Tl1 0.000 0.500 0.260
Tl2 0.000 0.500 0.740
Tl3 0.500 0.000 0.260
Tl4 0.500 0.000 0.740

Summary:
Symmetry: C2/m

***

15.
This record from Alexandria via LeMat-Bulk describes a geometry-optimized Dy4SbTe structure. The functional is GGA-PBE.

a = 9.412 Å, b = 9.412 Å, c = 7.413 Å
α = 113.14°, β = 113.14°, γ = 46.38°
Element x y z (fractional)
Dy1 0.004 0.821 0.821
Dy2 0.179 0.996 0.679
Dy3 0.321 0.504 0.504
Dy4 0.496 0.679 0.996
Dy5 0.504 0.321 0.004
Dy6 0.679 0.496 0.496
Dy7 0.821 0.004 0.321
Dy8 0.996 0.179 0.179
Sb1 0.250 0.750 0.250
Sb2 0.750 0.250 0.750
Te1 0.000 0.500 0.500
Te2 0.500 0.000 0.000

Summary:
Energy relative to the elements, uncorrected: -0.60 eV per atom
Symmetry: C2/c

***

16.
This record from Alexandria via LeMat-Bulk describes a geometry-optimized Pm12NdSc2 structure. The functional is GGA-PBE.

a = 6.266 Å, b = 6.266 Å, c = 27.320 Å
α = 92.23°, β = 92.23°, γ = 111.49°
Element x y z (fractional)
Pm1 0.055 0.055 0.366
Pm2 0.182 0.563 0.441
Pm3 0.188 0.570 0.668
Pm4 0.191 0.697 0.796
Pm5 0.211 0.211 0.867
Pm6 0.213 0.213 0.534
Pm7 0.232 0.732 0.933
Pm8 0.268 0.768 0.067
Pm9 0.287 0.287 0.136
Pm10 0.303 0.809 0.204
Pm11 0.430 0.812 0.332
Pm12 0.437 0.818 0.559
Pm13 0.563 0.182 0.441
Pm14 0.570 0.188 0.668
Pm15 0.697 0.191 0.796
Pm16 0.713 0.713 0.864
Pm17 0.732 0.232 0.933
Pm18 0.768 0.268 0.067
Pm19 0.787 0.787 0.466
Pm20 0.789 0.789 0.133
Pm21 0.809 0.303 0.204
Pm22 0.812 0.430 0.332
Pm23 0.818 0.437 0.559
Pm24 0.945 0.945 0.634
Nd1 0.251 0.251 0.001
Nd2 0.749 0.749 0.999
Sc1 0.174 0.174 0.744
Sc2 0.318 0.318 0.263
Sc3 0.682 0.682 0.737
Sc4 0.826 0.826 0.256

Summary:
Symmetry: C2/m

***

17.
This record from Alexandria via LeMat-Bulk describes a geometry-optimized Y2TmB6 structure. The functional is GGA-PBE.

a = 5.683 Å, b = 5.683 Å, c = 3.848 Å
α = 90.00°, β = 90.00°, γ = 120.00°
Element x y z (fractional)
Y1 0.333 0.667 0.000
Y2 0.667 0.333 0.000
Tm1 0.000 0.000 0.000
B1 0.000 0.331 0.500
B2 0.000 0.669 0.500
B3 0.331 0.000 0.500
B4 0.331 0.331 0.500
B5 0.669 0.000 0.500
B6 0.669 0.669 0.500

Summary:
Symmetry: P6/mmm

***

18.
This record from Alexandria via LeMat-Bulk describes a geometry-optimized Cs2SrBr structure. The functional is GGA-PBE.

a = 10.352 Å, b = 10.352 Å, c = 10.352 Å
α = 95.15°, β = 95.15°, γ = 145.13°
Element x y z (fractional)
Cs1 0.375 0.013 0.138
Cs2 0.763 0.625 0.638
Cs3 0.875 0.237 0.862
Cs4 0.987 0.125 0.362
Sr1 0.250 0.750 0.500
Sr2 0.500 0.500 0.000
Br1 0.000 0.000 0.000
Br2 0.750 0.250 0.500

Summary:
Energy relative to the elements, uncorrected: -0.63 eV per atom
Offset from the most stable computed form: 0.32 eV per formula unit
Symmetry: I-42d

***

19.
This record from Alexandria via LeMat-Bulk describes a geometry-optimized Ca3Re5N12 structure. The functional is GGA-PBE.

a = 11.169 Å, b = 11.169 Å, c = 11.169 Å
α = 109.47°, β = 109.47°, γ = 109.47°
Element x y z (fractional)
Ca1 0.125 0.250 0.375
Ca2 0.125 0.375 0.750
Ca3 0.250 0.375 0.125
Ca4 0.250 0.875 0.625
Ca5 0.375 0.125 0.250
Ca6 0.375 0.750 0.125
Ca7 0.625 0.250 0.875
Ca8 0.625 0.875 0.750
Ca9 0.750 0.125 0.375
Ca10 0.750 0.625 0.875
Ca11 0.875 0.625 0.250
Ca12 0.875 0.750 0.625
Re1 0.000 0.000 0.000
Re2 0.000 0.000 0.500
Re3 0.000 0.500 0.000
Re4 0.000 0.500 0.500
Re5 0.125 0.750 0.875
Re6 0.125 0.875 0.250
Re7 0.250 0.125 0.875
Re8 0.250 0.625 0.375
Re9 0.375 0.250 0.625
Re10 0.375 0.625 0.750
Re11 0.500 0.000 0.000
Re12 0.500 0.000 0.500
Re13 0.500 0.500 0.000
Re14 0.500 0.500 0.500
Re15 0.625 0.375 0.250
Re16 0.625 0.750 0.375
Re17 0.750 0.375 0.625
Re18 0.750 0.875 0.125
Re19 0.875 0.125 0.750
Re20 0.875 0.250 0.125
N1 0.006 0.188 0.111
N2 0.006 0.318 0.895
N3 0.077 0.688 0.682
N4 0.077 0.889 0.395
N5 0.105 0.611 0.423
N6 0.105 0.994 0.682
N7 0.111 0.006 0.188
N8 0.111 0.605 0.923
N9 0.182 0.188 0.577
N10 0.182 0.494 0.605
N11 0.188 0.111 0.006
N12 0.188 0.577 0.182
N13 0.312 0.318 0.923
N14 0.312 0.494 0.389
N15 0.318 0.895 0.006
N16 0.318 0.923 0.312
N17 0.389 0.312 0.494
N18 0.389 0.577 0.895
N19 0.395 0.077 0.889
N20 0.395 0.818 0.506
N21 0.423 0.105 0.611
N22 0.423 0.818 0.812
N23 0.494 0.389 0.312
N24 0.494 0.605 0.182
N25 0.506 0.395 0.818
N26 0.506 0.611 0.688
N27 0.577 0.182 0.188
N28 0.577 0.895 0.389
N29 0.605 0.182 0.494
N30 0.605 0.923 0.111
N31 0.611 0.423 0.105
N32 0.611 0.688 0.506
N33 0.682 0.077 0.688
N34 0.682 0.105 0.994
N35 0.688 0.506 0.611
N36 0.688 0.682 0.077
N37 0.812 0.423 0.818
N38 0.812 0.889 0.994
N39 0.818 0.506 0.395
N40 0.818 0.812 0.423
N41 0.889 0.395 0.077
N42 0.889 0.994 0.812
N43 0.895 0.006 0.318
N44 0.895 0.389 0.577
N45 0.923 0.111 0.605
N46 0.923 0.312 0.318
N47 0.994 0.682 0.105
N48 0.994 0.812 0.889

Summary:
Energy relative to the elements, uncorrected: -0.36 eV per atom
Symmetry: Ia-3d

***

The following DOS at the Fermi energy values (in states/eV/f.u.) correspond, in order, to the records above: 3.71; 5.37; 19.04; 1.13; 4.24; 5.94; 4.00; 0.20; 5.26; 9.36; 2.90; 8.49; 3.12; 4.43; 6.18; 22.52; 2.61; 4.15; 10.33.
The following E_tot values (in eV/cell) correspond, in order, to the records above: -47.13; -28.76; -56.18; -52.38; -11.53; -55.15; -31.85; -63.23; -52.61; -30.16; -12.70; -15.65; -127.43; -18.76; -58.60; -146.43; -62.81; -15.15; -701.31.